Here is a relaxed structure of As2Rh from Alexandria via LeMat-Bulk. Energies are from PBE.

a b c (Å): 3.5215 3.5215 8.1480
angles (deg): 90.00 90.00 90.00
Closest atoms and distances in Å follow each position.
Space group I4/mmm (No. 139)
Symmetry-distinct sites (fractional):
1 As 0.0000 0.0000 0.1606  5 As 2.62-2.89, 5 Rh 2.77-2.81
2 Rh 0.0000 0.0000 0.5000  10 As 2.77-2.81

- final energy (eV per atom) = -5.499
- DOS(E_F) (states/eV/cell) = 3.150
- M_tot (Bohr magnetons per cell) = 0.0
- formation enthalpy at 0 K (eV per atom) = 0.051